1.
VASP calculation (PBE) on a relaxed Tb2Nd8Sc3 crystal.

Cell: 6.6782 8.9317 8.7342 Å, 120.75 98.41 90.00°
Last column: nearest neighbours and their distance in Å.
Atoms (fractional coordinates):
Tb: 0.3007 0.1956 0.3912  6 Nd 3.19-3.53, 3 Sc 3.42-3.57
Tb: 0.6993 0.8044 0.6088  6 Nd 3.19-3.53, 3 Sc 3.42-3.57
Nd: 0.9019 0.5913 0.1825  4 Nd 3.23-3.58, 2 Sc 3.43
Nd: 0.0981 0.4087 0.8175  4 Nd 3.23-3.58, 2 Sc 3.43
Nd: 0.8200 0.1890 0.3780  2 Tb 3.19-3.49, 3 Sc 3.25-3.57, 1 Nd 3.50
Nd: 0.1800 0.8110 0.6220  2 Tb 3.19-3.49, 3 Sc 3.25-3.57, 1 Nd 3.50
Nd: 0.5660 0.5720 0.7782  3 Nd 3.27-3.59, 2 Tb 3.29-3.53, 2 Sc 3.35-3.39
Nd: 0.5660 0.2062 0.7782  3 Nd 3.27-3.59, 2 Tb 3.29-3.53, 2 Sc 3.35-3.39
Nd: 0.4340 0.7938 0.2218  3 Nd 3.27-3.59, 2 Tb 3.29-3.53, 2 Sc 3.35-3.39
Nd: 0.4340 0.4280 0.2218  3 Nd 3.27-3.59, 2 Tb 3.29-3.53, 2 Sc 3.35-3.39
Sc: 0.5000 0.0000 0.0000  6 Nd 3.25-3.35, 2 Tb 3.42, 4 Sc 3.64
Sc: 0.0000 0.1610 0.0000  1 Sc 2.88
Sc: 0.0000 0.8390 0.0000  1 Sc 2.88

Calculated values
The value obtained for the formation energy is 0.238 eV/atom. The value obtained for the energy relative to the lowest polymorph listed for this composition is 60 meV per atom. For the total magnetization, the calculation gives 0.00 μB/f.u.

***

2.
VASP calculation (PBE) on a relaxed Pr8Nd3 crystal.

Cell: 7.3920 7.3920 7.3920 Å, 85.50 85.50 85.50°
Last column: nearest neighbours and their distance in Å.
Atoms (fractional coordinates):
Pr: 0.8890 0.3068 0.1465  2 Nd 3.26-3.33
Pr: 0.3068 0.1465 0.8890  2 Nd 3.26-3.33
Pr: 0.1465 0.8890 0.3068  2 Nd 3.26-3.33
Pr: 0.3795 0.3795 0.3795  3 Nd 2.97, 1 Pr 3.32
Pr: 0.6205 0.6205 0.6205  3 Nd 2.97, 1 Pr 3.32
Pr: 0.8535 0.1110 0.6932  2 Nd 3.26-3.33
Pr: 0.6932 0.8535 0.1110  2 Nd 3.26-3.33
Pr: 0.1110 0.6932 0.8535  2 Nd 3.26-3.33
Nd: 0.5000 0.0000 0.5000  4 Pr 2.97-3.26
Nd: 0.0000 0.5000 0.5000  4 Pr 2.97-3.26
Nd: 0.5000 0.5000 0.0000  4 Pr 2.97-3.26

Calculated values
The value obtained for the formation energy is 0.420 eV/atom. The value obtained for the energy relative to the lowest polymorph listed for this composition is 408 meV per atom. For the total magnetization, the calculation gives 0.00 μB/f.u.

***

3.
VASP calculation (PBE) on a relaxed TiGeAu3 crystal.

Cell: 4.8029 4.8029 4.8029 Å, 90.00 90.00 90.00°
Last column: nearest neighbours and their distance in Å.
Atoms (fractional coordinates):
Ge: 0.0000 0.0000 0.0000  6 Au 2.40
Au: 0.0000 0.5000 0.0000  2 Ge 2.40
Au: 0.0000 0.0000 0.5000  2 Ge 2.40
Au: 0.5000 0.0000 0.0000  2 Ge 2.40
Ti: 0.5000 0.5000 0.5000  12 Au 3.40

Calculated values
The value obtained for the formation energy is 0.542 eV/atom. The value obtained for the energy relative to the lowest polymorph listed for this composition is 0 meV per atom. For the total magnetization, the calculation gives 0.13 μB/f.u.

***

4.
VASP calculation (PBE) on a relaxed RbIn9Pt2 crystal.

Cell: 8.4960 9.4730 9.4730 Å, 78.40 63.36 63.36°
Last column: nearest neighbours and their distance in Å.
Atoms (fractional coordinates):
Rb: 0.5000 0.0000 0.0000  18 In 3.80-4.25
Rb: 0.2500 0.5000 0.5000  18 In 3.80-4.25
In: 0.7500 0.5000 0.5000  4 Pt 3.18, 8 In 3.19
In: 0.0000 0.0000 0.0000  4 Pt 3.18, 8 In 3.19
In: 0.0031 0.9283 0.6833  2 Pt 2.84-3.13, 3 In 2.93-3.17
In: 0.6147 0.0717 0.3167  2 Pt 2.84-3.13, 3 In 2.93-3.17
In: 0.6814 0.1833 0.5717  2 Pt 2.84-3.13, 3 In 2.93-3.17
In: 0.4364 0.8167 0.4283  2 Pt 2.84-3.13, 3 In 2.93-3.17
In: 0.7469 0.8167 0.5717  2 Pt 2.84-3.13, 3 In 2.93-3.17
In: 0.1353 0.1833 0.4283  2 Pt 2.84-3.13, 3 In 2.93-3.17
In: 0.0686 0.9283 0.3167  2 Pt 2.84-3.13, 3 In 2.93-3.17
In: 0.3136 0.0717 0.6833  2 Pt 2.84-3.13, 3 In 2.93-3.17
In: 0.7469 0.5717 0.8167  2 Pt 2.84-3.13, 3 In 2.93-3.17
In: 0.1353 0.4283 0.1833  2 Pt 2.84-3.13, 3 In 2.93-3.17
In: 0.0686 0.3167 0.9283  2 Pt 2.84-3.13, 3 In 2.93-3.17
In: 0.3136 0.6833 0.0717  2 Pt 2.84-3.13, 3 In 2.93-3.17
In: 0.0031 0.6833 0.9283  2 Pt 2.84-3.13, 3 In 2.93-3.17
In: 0.6147 0.3167 0.0717  2 Pt 2.84-3.13, 3 In 2.93-3.17
In: 0.6814 0.5717 0.1833  2 Pt 2.84-3.13, 3 In 2.93-3.17
In: 0.4364 0.4283 0.8167  2 Pt 2.84-3.13, 3 In 2.93-3.17
Pt: 0.8750 0.2500 0.7500  10 In 2.84-3.18
Pt: 0.8750 0.7500 0.2500  10 In 2.84-3.18
Pt: 0.8750 0.2500 0.2500  10 In 2.84-3.18
Pt: 0.3750 0.7500 0.7500  10 In 2.84-3.18

Calculated values
The value obtained for the formation energy is -0.175 eV/atom. For the total magnetization, the calculation gives 0.00 μB/f.u.